Entry 1:
The following is a PBE-GGA calculation of crystalline PaGa at its relaxed geometry, from Alexandria.

Computed properties:
Calculated formation energy (eV/f.u.): -0.5
Calculated total energy (eV per cell): -26.1
Total magnetic moment (Bohr magnetons per cell): 0.00
Energy relative to the lowest polymorph listed for this composition (meV/atom): 0
ρ (g/cm³): 11.7

abc: 5.3370 5.3370 3.1257
angles: 90.00 90.00 105.88
Last column: nearest neighbours and their distance in Å.
Element x y z (fractional)
Pa (0.2279, 0.7721, 0.0000)  8 Ga 3.10-3.11, 4 Pa 3.13-3.24
Pa (0.7721, 0.2279, 0.0000)  8 Ga 3.10-3.11, 4 Pa 3.13-3.24
Ga (0.2871, 0.2871, 0.5000)  1 Ga 2.74
Ga (0.7129, 0.7129, 0.5000)  1 Ga 2.74

Entry 2:
The following is a PBE-GGA calculation of crystalline PaGa5 at its relaxed geometry, from Alexandria.

Computed properties:
Calculated formation energy (eV/f.u.): -0.8
Calculated total energy (eV per cell): -25.4
Total magnetic moment (Bohr magnetons per cell): 0.00
Energy relative to the lowest polymorph listed for this composition (meV/atom): 62
ρ (g/cm³): 8.2

abc: 7.4356 7.4356 3.5068
angles: 90.00 90.00 142.75
Last column: nearest neighbours and their distance in Å.
Element x y z (fractional)
Pa (0.0000, 0.0000, 0.0000)  12 Ga 2.95-3.29
Ga (0.1824, 0.8176, 0.5000)  8 Ga 2.81-3.04, 2 Pa 3.11
Ga (0.3382, 0.6618, 0.0000)  8 Ga 2.81-2.97
Ga (0.5000, 0.5000, 0.5000)  4 Ga 2.88, 4 Pa 2.95
Ga (0.6618, 0.3382, 0.0000)  8 Ga 2.81-2.97
Ga (0.8176, 0.1824, 0.5000)  8 Ga 2.81-3.04, 2 Pa 3.11

Entry 3:
The following is a PBE-GGA calculation of crystalline Pa2Ga3 at its relaxed geometry, from Alexandria.

Computed properties:
Calculated formation energy (eV/f.u.): -1.0
Calculated total energy (eV per cell): -58.2
Total magnetic moment (Bohr magnetons per cell): 3.98
Energy relative to the lowest polymorph listed for this composition (meV/atom): 44
ρ (g/cm³): 10.4

abc: 5.6808 5.6808 7.5931
angles: 90.00 90.00 118.77
Last column: nearest neighbours and their distance in Å.
Element x y z (fractional)
Pa (0.1565, 0.8435, 0.8999)  6 Ga 2.99-3.13
Pa (0.3435, 0.6565, 0.3999)  6 Ga 2.99-3.13
Pa (0.6565, 0.3435, 0.6001)  6 Ga 2.99-3.13
Pa (0.8435, 0.1565, 0.1001)  6 Ga 2.99-3.13
Ga (0.0000, 0.0000, 0.5000)  4 Ga 2.59
Ga (0.1472, 0.3528, 0.7500)  4 Ga 2.59-2.89
Ga (0.3528, 0.1472, 0.2500)  4 Ga 2.59-2.89
Ga (0.5000, 0.5000, 0.0000)  4 Ga 2.59
Ga (0.6472, 0.8528, 0.7500)  4 Ga 2.59-2.89
Ga (0.8528, 0.6472, 0.2500)  4 Ga 2.59-2.89

Entry 4:
The following is a PBE-GGA calculation of crystalline PaGa4 at its relaxed geometry, from Alexandria.

Computed properties:
Calculated formation energy (eV/f.u.): 0.9
Calculated total energy (eV per cell): -83.0
Total magnetic moment (Bohr magnetons per cell): 0.00
Energy relative to the lowest polymorph listed for this composition (meV/atom): 470
ρ (g/cm³): 7.3

abc: 9.5810 9.5810 5.0370
angles: 90.00 90.00 90.00
Last column: nearest neighbours and their distance in Å.
Element x y z (fractional)
Pa (0.0956, 0.4044, 0.0000)  1 Pa 2.59
Pa (0.4044, 0.9044, 0.0000)  1 Pa 2.59
Pa (0.5956, 0.0956, 0.0000)  1 Pa 2.59
Pa (0.9044, 0.5956, 0.0000)  1 Pa 2.59
Ga (0.0000, 0.0000, 0.2308)  5 Ga 2.33-2.60
Ga (0.0000, 0.0000, 0.7692)  5 Ga 2.33-2.60
Ga (0.1037, 0.2066, 0.5000)  4 Ga 2.57-2.69
Ga (0.1060, 0.6060, 0.5000)  5 Ga 2.69-2.94
Ga (0.2066, 0.8963, 0.5000)  4 Ga 2.57-2.69
Ga (0.2934, 0.3963, 0.5000)  4 Ga 2.57-2.69
Ga (0.3940, 0.1060, 0.5000)  5 Ga 2.69-2.94
Ga (0.3963, 0.7066, 0.5000)  4 Ga 2.57-2.69
Ga (0.5000, 0.5000, 0.2308)  5 Ga 2.33-2.60
Ga (0.5000, 0.5000, 0.7692)  5 Ga 2.33-2.60
Ga (0.6037, 0.2934, 0.5000)  4 Ga 2.57-2.69
Ga (0.6060, 0.8940, 0.5000)  5 Ga 2.69-2.94
Ga (0.7066, 0.6037, 0.5000)  4 Ga 2.57-2.69
Ga (0.7934, 0.1037, 0.5000)  4 Ga 2.57-2.69
Ga (0.8940, 0.3940, 0.5000)  5 Ga 2.69-2.94
Ga (0.8963, 0.7934, 0.5000)  4 Ga 2.57-2.69

Entry 5:
The following is a PBE-GGA calculation of crystalline Pa3Ga2 at its relaxed geometry, from Alexandria.

Computed properties:
Calculated formation energy (eV/f.u.): -0.5
Calculated total energy (eV per cell): -35.0
Total magnetic moment (Bohr magnetons per cell): 0.00
Energy relative to the lowest polymorph listed for this composition (meV/atom): 0
ρ (g/cm³): 11.9

abc: 5.6262 5.6262 5.6262
angles: 132.51 111.60 87.49
Last column: nearest neighbours and their distance in Å.
Element x y z (fractional)
Pa (0.0000, 0.0000, 0.0000)  4 Ga 2.95
Pa (0.2976, 0.7976, 0.5000)  6 Ga 3.07-3.08, 3 Pa 3.29-3.31
Pa (0.7024, 0.2024, 0.5000)  6 Ga 3.07-3.08, 3 Pa 3.29-3.31
Ga (0.2982, 0.5000, 0.7982)  1 Ga 2.55
Ga (0.7018, 0.5000, 0.2018)  1 Ga 2.55

Entry 6:
The following is a PBE-GGA calculation of crystalline PaGa4 at its relaxed geometry, from Alexandria.

Computed properties:
Calculated formation energy (eV/f.u.): -1.5
Calculated total energy (eV per cell): -46.2
Total magnetic moment (Bohr magnetons per cell): 0.00
Energy relative to the lowest polymorph listed for this composition (meV/atom): 0
ρ (g/cm³): 8.9

abc: 7.9084 7.9084 7.9084
angles: 147.74 133.25 57.94
Last column: nearest neighbours and their distance in Å.
Element x y z (fractional)
Pa (0.3613, 0.1113, 0.2500)  13 Ga 3.03-3.16
Pa (0.6387, 0.8887, 0.7500)  13 Ga 3.03-3.16
Ga (0.0000, 0.5000, 0.5000)  6 Ga 2.76-3.08
Ga (0.1423, 0.8923, 0.2500)  10 Ga 2.89-3.08, 3 Pa 3.03-3.14
Ga (0.1699, 0.6990, 0.4708)  6 Ga 2.61-2.89
Ga (0.2718, 0.3010, 0.9708)  6 Ga 2.61-2.89
Ga (0.5000, 0.5000, 0.0000)  6 Ga 2.76-3.08
Ga (0.7282, 0.6990, 0.0292)  6 Ga 2.61-2.89
Ga (0.8301, 0.3010, 0.5292)  6 Ga 2.61-2.89
Ga (0.8577, 0.1077, 0.7500)  10 Ga 2.89-3.08, 3 Pa 3.03-3.14

Entry 7:
The following is a PBE-GGA calculation of crystalline Pa3Ga2 at its relaxed geometry, from Alexandria.

Computed properties:
Calculated formation energy (eV/f.u.): -0.1
Calculated total energy (eV per cell): -34.6
Total magnetic moment (Bohr magnetons per cell): 0.00
Energy relative to the lowest polymorph listed for this composition (meV/atom): 85
ρ (g/cm³): 11.8

abc: 5.0633 5.0633 5.0633
angles: 74.18 74.18 74.18
Last column: nearest neighbours and their distance in Å.
Element x y z (fractional)
Pa (0.0000, 0.5000, 0.5000)  6 Ga 3.00-3.28, 4 Pa 3.05
Pa (0.5000, 0.0000, 0.5000)  6 Ga 3.00-3.28, 4 Pa 3.05
Pa (0.5000, 0.5000, 0.0000)  6 Ga 3.00-3.28, 4 Pa 3.05
Ga (0.1103, 0.1103, 0.1103)  1 Ga 2.41
Ga (0.8897, 0.8897, 0.8897)  1 Ga 2.41

Entry 8:
The following is a PBE-GGA calculation of crystalline PaGa at its relaxed geometry, from Alexandria.

Computed properties:
Calculated formation energy (eV/f.u.): -0.4
Calculated total energy (eV per cell): -25.8
Total magnetic moment (Bohr magnetons per cell): 0.00
Energy relative to the lowest polymorph listed for this composition (meV/atom): 73
ρ (g/cm³): 11.5

abc: 3.7518 4.1063 5.7219
angles: 90.00 101.04 90.00
Last column: nearest neighbours and their distance in Å.
Element x y z (fractional)
Pa (0.1137, 0.2500, 0.3596)  2 Pa 2.84, 5 Ga 2.96-3.08
Pa (0.8863, 0.7500, 0.6404)  2 Pa 2.84, 5 Ga 2.96-3.08
Ga (0.4602, 0.2500, 0.8702)  2 Ga 2.52
Ga (0.5398, 0.7500, 0.1298)  2 Ga 2.52